The following is a GGA+U calculation of a relaxed structure of HfSb2WF, from Alexandria via LeMat-Bulk.

Computed properties:
Total energy in eV/atom: -5.498
Fermi-level density of states in states/eV/f.u.: 1.670
SG: P4/mmm, No. 123

Structure (POSCAR):
```
HfSb2WF
1.0
-1.442 -3.543 3.965
2.080 -2.933 -1.864
4.502 1.373 2.864
F Sb Hf W
1 2 1 1
Direct
0.000 0.500 0.000
0.500 0.000 0.000
0.000 0.000 0.500
0.500 0.500 0.500
0.000 0.000 0.000
```